1.
The following is a DFT calculation (GGA-PBE) of a geometry-optimized CuAg2Cl5 structure.

Cell lengths 6.4104, 6.6672, 6.6709 Å; angles 81.14, 66.03, 66.58 degrees
Space group P1 (No. 1)
Inequivalent atoms, fractional coordinates:
1 Cu 0.0000 0.0000 0.0000 x1
2 Ag 0.2812 0.4031 0.9426 x1
3 Ag 0.2806 0.9457 0.4008 x1
4 Cl 0.0930 0.7443 0.7436 x1
5 Cl 0.2632 0.7015 0.1534 x1
6 Cl 0.2645 0.1565 0.6979 x1
7 Cl 0.5799 0.0917 0.0862 x1
8 Cl 0.9254 0.2444 0.2457 x1

energy relative to the lowest polymorph listed for this composition = 0.0 kJ/mol of formula units
formation energy from raw total energies = -9.315 kcal/mol of atoms
total magnetic moment = 0.101 μB/atom

***

2.
The following is a DFT calculation (GGA-PBE) of a geometry-optimized NdSmRuAu structure.

Cell lengths 7.1900, 7.1900, 7.1900 Å; angles 90.00, 90.00, 90.00 degrees
Space group F-43m (No. 216)
Inequivalent atoms, fractional coordinates:
1 Nd 0.0000 0.0000 0.0000 x4
2 Sm 0.0000 0.0000 0.5000 x4
3 Ru 0.2500 0.2500 0.2500 x4
4 Au 0.2500 0.2500 0.7500 x4

DFT formation energy = -0.44 eV/atom
total magnetic moment = 0.000 μB/atom

***

3.
The following is a DFT calculation (GGA-PBE) of a geometry-optimized Cd2AsPt structure.

Cell lengths 4.1570, 4.1570, 8.7814 Å; angles 90.00, 90.00, 90.00 degrees
Space group I-4m2 (No. 119)
Inequivalent atoms, fractional coordinates:
1 Cd 0.0000 0.0000 0.0000 x2
2 Cd 0.0000 0.5000 0.2500 x2
3 As 0.0000 0.0000 0.5000 x2
4 Pt 0.0000 0.5000 0.7500 x2

DFT formation energy = -0.02 eV/atom
total magnetic moment = 0.000 μB/atom

***

4.
The following is a DFT calculation (GGA-PBE) of a geometry-optimized Sm5Er2Tm structure.

Cell lengths 9.1026, 9.1026, 12.6241 Å; angles 90.00, 90.00, 90.00 degrees
Space group I4/mcm (No. 140)
Inequivalent atoms, fractional coordinates:
1 Sm 0.0000 0.0000 0.0000 x4
2 Sm 0.1508 0.3492 0.1637 x16
3 Er 0.1445 0.3555 0.5000 x8
4 Tm 0.0000 0.0000 0.2500 x4

DFT formation energy = 0.11 eV/atom
total magnetic moment = 0.031 μB/atom

***

5.
The following is a DFT calculation (GGA-PBE) of a geometry-optimized BaRe2Ag structure.

Cell lengths 4.0072, 4.0072, 5.3216 Å; angles 90.00, 90.00, 90.00 degrees
Space group P4/mmm (No. 123)
Inequivalent atoms, fractional coordinates:
1 Ba 0.0000 0.0000 0.0000 x1
2 Re 0.0000 0.5000 0.5000 x2
3 Ag 0.5000 0.5000 0.0000 x1

DFT formation energy = 1.44 eV/atom
energy relative to the lowest polymorph listed for this composition = 350.4 kJ/mol of formula units
total magnetic moment = 0.000 μB/atom

***

6.
The following is a DFT calculation (GGA-PBE) of a geometry-optimized RbLiCdIr2 structure.

Cell lengths 5.0779, 5.0779, 5.8700 Å; angles 90.00, 90.00, 90.00 degrees
Space group P4/mmm (No. 123)
Inequivalent atoms, fractional coordinates:
1 Rb 0.0000 0.0000 0.0000 x1
2 Li 0.5000 0.5000 0.0000 x1
3 Cd 0.0000 0.0000 0.5000 x1
4 Ir 0.0000 0.5000 0.5000 x2

DFT formation energy = 1.40 eV/atom
total magnetic moment = 0.300 μB/atom

***

7.
The following is a DFT calculation (GGA-PBE) of a geometry-optimized La4Tl5 structure.

Cell lengths 9.7938, 9.7938, 6.8137 Å; angles 90.00, 90.00, 120.00 degrees
Space group P6_3/mcm (No. 193)
Inequivalent atoms, fractional coordinates:
1 La 0.0000 0.0000 0.0000 x2
2 La 0.0000 0.3691 0.2500 x6
3 Tl 0.0000 0.3022 0.7500 x6
4 Tl 0.3333 0.6667 0.0000 x4

DFT formation energy = -0.38 eV/atom
total magnetic moment = 0.000 μB/atom

***

8.
The following is a DFT calculation (GGA-PBE) of a geometry-optimized In2NiAu2 structure.

Cell lengths 6.9548, 6.9548, 4.1327 Å; angles 90.00, 90.00, 90.00 degrees
Space group P4/mbm (No. 127)
Inequivalent atoms, fractional coordinates:
1 In 0.1662 0.3338 0.0000 x4
2 Ni 0.0000 0.0000 0.5000 x2
3 Au 0.1475 0.6475 0.5000 x4

DFT formation energy = 0.06 eV/atom
energy relative to the lowest polymorph listed for this composition = 0.0 kJ/mol of formula units
total magnetic moment = 0.000 μB/atom

***

9.
The following is a DFT calculation (GGA-PBE) of a geometry-optimized Tl3In6Sn2 structure.

Cell lengths 3.4088, 3.4088, 92.6139 Å; angles 90.00, 90.00, 120.00 degrees
Space group R-3m (No. 166, hexagonal axes)
Inequivalent atoms, fractional coordinates:
1 Tl 0.0000 0.0000 0.0000 x3
2 Tl 0.0000 0.0000 0.2716 x6
3 In 0.0000 0.0000 0.0925 x6
4 In 0.0000 0.0000 0.1818 x6
5 In 0.0000 0.0000 0.3641 x6
6 Sn 0.0000 0.0000 0.4551 x6

DFT formation energy = 0.03 eV/atom
total magnetic moment = 0.000 μB/atom

***

10.
The following is a DFT calculation (GGA-PBE) of a geometry-optimized KCu2Sn2 structure.

Cell lengths 4.6173, 4.6173, 11.3251 Å; angles 90.00, 90.00, 90.00 degrees
Space group I4/mmm (No. 139)
Inequivalent atoms, fractional coordinates:
1 K 0.0000 0.0000 0.0000 x2
2 Cu 0.0000 0.5000 0.2500 x4
3 Sn 0.0000 0.0000 0.3634 x4

DFT formation energy = -0.02 eV/atom
energy relative to the lowest polymorph listed for this composition = 0.0 kJ/mol of formula units
total magnetic moment = 0.000 μB/atom

***

11.
The following is a DFT calculation (GGA-PBE) of a geometry-optimized Tb2Pm7Ho3 structure.

Cell lengths 5.7840, 38.1434, 3.6306 Å; angles 90.00, 90.00, 90.00 degrees
Space group Cmmm (No. 65)
Inequivalent atoms, fractional coordinates:
1 Tb 0.0000 0.1488 0.0000 x4
2 Pm 0.0000 0.0000 0.0000 x2
3 Pm 0.0000 0.0725 0.5000 x4
4 Pm 0.0000 0.2320 0.0000 x4
5 Pm 0.0000 0.4076 0.0000 x4
6 Ho 0.0000 0.3153 0.5000 x4
7 Ho 0.0000 0.5000 0.5000 x2

DFT formation energy = 0.11 eV/atom
energy relative to the lowest polymorph listed for this composition = 0.0 kJ/mol of formula units
total magnetic moment = 0.000 μB/atom

***

12.
The following is a DFT calculation (GGA-PBE) of a geometry-optimized UFe5Si2 structure.

Cell lengths 3.1069, 6.9591, 9.7397 Å; angles 90.00, 90.00, 90.00 degrees
Space group Immm (No. 71)
Inequivalent atoms, fractional coordinates:
1 U 0.0000 0.0000 0.0000 x2
2 Fe 0.0000 0.2033 0.3591 x8
3 Fe 0.0000 0.5000 0.0000 x2
4 Si 0.0000 0.5000 0.2455 x4

formation energy from raw total energies = -5.993 kcal/mol of atoms
total magnetic moment = 0.793 μB/atom

***

- Which formula does entry 8 have?
  In2NiAu2